Material: PmNpPtAu
Method: DFT, PBE
State: optimized geometry

Output
Mass density = 13.8 g/cm³
DOS at the Fermi energy = 42.0 states/eV/cell
Calculated volume = 373.6 Å³ per cell
Formation energy from the elements = -2.0 eV/f.u.

```
data_PmNpPtAu
_chemical_formula_sum 'Pm4 Np4 Pt4 Au4'
_cell_length_a 7.202
_cell_length_b 7.202
_cell_length_c 7.202
_cell_angle_alpha 90.00
_cell_angle_beta 90.00
_cell_angle_gamma 90.00
_space_group_name_H-M_alt 'F -4 3 m'
_space_group_IT_number 216
_space_group_name_Hall 'F -4 2 3'
loop_
_atom_site_label
_atom_site_fract_x
_atom_site_fract_y
_atom_site_fract_z
Pm1 0.000 0.000 0.000
Np1 0.000 0.000 0.500
Pt1 0.250 0.250 0.250
Au1 0.250 0.250 0.750
```